TbMgZrRu: optimized geometry, PBE.

```
TbMgZrRu
1.0
0.000 3.470 3.470
3.470 0.000 3.470
3.470 3.470 0.000
Tb Mg Zr Ru
1 1 1 1
Direct
0.000 0.000 0.000 Tb
0.250 0.250 0.250 Mg
0.500 0.500 0.500 Zr
0.750 0.750 0.750 Ru
```

## Properties
formation energy: -0.143 eV/atom

=====

PrSc12In3: optimized geometry, PBE.

```
PrSc12In3
1.0
4.559 0.000 0.000
0.000 4.559 0.000
0.000 0.000 18.527
Pr Sc In
1 12 3
Direct
0.000 0.000 0.000 Pr
0.000 0.500 0.135 Sc
0.000 0.500 0.378 Sc
0.000 0.500 0.622 Sc
0.000 0.500 0.865 Sc
0.500 0.000 0.135 Sc
0.500 0.000 0.378 Sc
0.500 0.000 0.622 Sc
0.500 0.000 0.865 Sc
0.500 0.500 0.000 Sc
0.500 0.500 0.259 Sc
0.500 0.500 0.500 Sc
0.500 0.500 0.741 Sc
0.000 0.000 0.257 In
0.000 0.000 0.500 In
0.000 0.000 0.743 In
```

## Properties
formation energy: -0.179 eV/atom

=====

TlRh3S: optimized geometry, PBE.

```
TlRh3S
1.0
4.994 0.000 0.000
0.000 4.994 0.000
0.000 0.000 4.994
Tl Rh S
1 3 1
Direct
0.000 0.000 0.000 Tl
0.000 0.000 0.500 Rh
0.000 0.500 0.000 Rh
0.500 0.000 0.000 Rh
0.500 0.500 0.500 S
```

## Properties
distance to the lowest polymorph of the same formula: 1.728 eV/atom
ΔE_f (raw): 9.09 eV/f.u.

=====

MnVCo3: optimized geometry, PBE.

```
MnVCo3
1.0
4.193 0.000 0.000
0.000 4.193 0.000
0.000 0.000 4.193
Mn V Co
1 1 3
Direct
0.000 0.000 0.000 Mn
0.500 0.500 0.500 V
0.000 0.500 0.500 Co
0.500 0.000 0.500 Co
0.500 0.500 0.000 Co
```

## Properties
distance to the lowest polymorph of the same formula: 0.951 eV/atom
formation energy: 0.986 eV/atom

=====

Tb3Sm3Sc: optimized geometry, PBE.

```
Tb3Sm3Sc
1.0
9.534 0.000 0.000
-4.767 8.257 0.000
0.000 0.000 5.672
Tb Sm Sc
6 6 2
Direct
0.051 0.240 0.250 Tb
0.190 0.949 0.250 Tb
0.240 0.190 0.750 Tb
0.760 0.810 0.250 Tb
0.810 0.051 0.750 Tb
0.949 0.760 0.750 Tb
0.097 0.478 0.750 Sm
0.381 0.903 0.750 Sm
0.478 0.381 0.250 Sm
0.522 0.619 0.750 Sm
0.619 0.097 0.250 Sm
0.903 0.522 0.250 Sm
0.333 0.667 0.250 Sc
0.667 0.333 0.750 Sc
```

## Properties
distance to the lowest polymorph of the same formula: 0.000 eV/atom
formation energy: 0.031 eV/atom

=====

Li2TbYSe4: optimized geometry, PBE.

```
Li2TbYSe4
1.0
6.913 0.000 0.000
0.000 4.081 0.000
-2.401 0.000 6.644
Li Tb Y Se
2 1 1 4
Direct
0.000 0.000 0.000 Li
0.000 0.500 0.500 Li
0.500 0.000 0.500 Tb
0.500 0.500 0.000 Y
0.246 0.000 0.750 Se
0.246 0.500 0.248 Se
0.754 0.000 0.250 Se
0.754 0.500 0.752 Se
```

## Properties
ΔE_f (raw): -13.61 eV/f.u.

=====

Q: What is the formula in the sixth record?
A: Li2TbYSe4

=====

Copy entry 2 word for word.
PrSc12In3: optimized geometry, PBE.

```
PrSc12In3
1.0
4.559 0.000 0.000
0.000 4.559 0.000
0.000 0.000 18.527
Pr Sc In
1 12 3
Direct
0.000 0.000 0.000 Pr
0.000 0.500 0.135 Sc
0.000 0.500 0.378 Sc
0.000 0.500 0.622 Sc
0.000 0.500 0.865 Sc
0.500 0.000 0.135 Sc
0.500 0.000 0.378 Sc
0.500 0.000 0.622 Sc
0.500 0.000 0.865 Sc
0.500 0.500 0.000 Sc
0.500 0.500 0.259 Sc
0.500 0.500 0.500 Sc
0.500 0.500 0.741 Sc
0.000 0.000 0.257 In
0.000 0.000 0.500 In
0.000 0.000 0.743 In
```

## Properties
formation energy: -0.179 eV/atom

=====

What did the fourth record say?
MnVCo3: optimized geometry, PBE.

```
MnVCo3
1.0
4.193 0.000 0.000
0.000 4.193 0.000
0.000 0.000 4.193
Mn V Co
1 1 3
Direct
0.000 0.000 0.000 Mn
0.500 0.500 0.500 V
0.000 0.500 0.500 Co
0.500 0.000 0.500 Co
0.500 0.500 0.000 Co
```

## Properties
distance to the lowest polymorph of the same formula: 0.951 eV/atom
formation energy: 0.986 eV/atom

=====

Copy entry 3 word for word.
TlRh3S: optimized geometry, PBE.

```
TlRh3S
1.0
4.994 0.000 0.000
0.000 4.994 0.000
0.000 0.000 4.994
Tl Rh S
1 3 1
Direct
0.000 0.000 0.000 Tl
0.000 0.000 0.500 Rh
0.000 0.500 0.000 Rh
0.500 0.000 0.000 Rh
0.500 0.500 0.500 S
```

## Properties
distance to the lowest polymorph of the same formula: 1.728 eV/atom
ΔE_f (raw): 9.09 eV/f.u.